Record 1
NaNd2Sm3Te6 (PBE, optimized geometry); symmetry = C2/m; calculated total energy = -5.04 eV per atom
1.0
9.7755 -2.2294 0.0000
9.7755 2.2294 0.0000
-2.0895 0.0000 8.7470
Na Nd Sm Te
1 2 3 6
Direct
0.0000 0.0000 0.0000
0.3302 0.3302 0.6579
0.6698 0.6698 0.3421
0.0000 0.0000 0.5000
0.3340 0.3340 0.1726
0.6660 0.6660 0.8274
0.1640 0.1640 0.5862
0.1668 0.1668 0.0802
0.4994 0.4994 0.7499
0.5006 0.5006 0.2501
0.8332 0.8332 0.9198
0.8360 0.8360 0.4138

---

Record 2
NaNd3Sm2Te6 (PBE, optimized geometry); symmetry = C2/m; calculated total energy = -5.05 eV per atom
1.0
9.7808 -2.2359 0.0000
9.7808 2.2359 0.0000
-2.0724 0.0000 8.7571
Na Nd Sm Te
1 3 2 6
Direct
0.0000 0.0000 0.0000
0.0000 0.0000 0.5000
0.3357 0.3357 0.1735
0.6643 0.6643 0.8265
0.3316 0.3316 0.6592
0.6684 0.6684 0.3408
0.1664 0.1664 0.5816
0.1667 0.1667 0.0858
0.4972 0.4972 0.7525
0.5028 0.5028 0.2475
0.8333 0.8333 0.9142
0.8336 0.8336 0.4184

---

Record 3
NaNd2SmTl4 (PBE, optimized geometry); symmetry = R-3m; DFT formation energy = -0.326 eV per atom
1.0
2.7109 1.5651 9.0757
-2.7109 1.5651 9.0757
0.0000 -3.1302 9.0757
Na Nd Sm Tl
1 2 1 4
Direct
0.0000 0.0000 0.0000
0.2556 0.2556 0.2556
0.7444 0.7444 0.7444
0.5000 0.5000 0.5000
0.1255 0.1255 0.1255
0.3756 0.3756 0.3756
0.6244 0.6244 0.6244
0.8745 0.8745 0.8745

---

Record 4
NaNdSmTl (PBE, optimized geometry); symmetry = F-43m; DFT formation energy = -0.091 eV per atom
1.0
0.0000 3.9119 3.9119
3.9119 0.0000 3.9119
3.9119 3.9119 0.0000
Na Nd Sm Tl
1 1 1 1
Direct
0.0000 0.0000 0.0000
0.7500 0.7500 0.7500
0.2500 0.2500 0.2500
0.5000 0.5000 0.5000

---

Record 5
NaNd4Sn15 (PBE, optimized geometry); symmetry = P4/mmm; DFT formation energy = -0.420 eV per atom
1.0
4.7249 0.0000 0.0000
0.0000 4.7249 0.0000
0.0000 0.0000 24.2750
Na Nd Sn
1 4 15
Direct
0.0000 0.0000 0.0000
0.0000 0.0000 0.2023
0.0000 0.0000 0.4001
0.0000 0.0000 0.5999
0.0000 0.0000 0.7977
0.0000 0.5000 0.0976
0.0000 0.5000 0.3000
0.0000 0.5000 0.5000
0.0000 0.5000 0.7000
0.0000 0.5000 0.9024
0.5000 0.0000 0.0976
0.5000 0.0000 0.3000
0.5000 0.0000 0.5000
0.5000 0.0000 0.7000
0.5000 0.0000 0.9024
0.5000 0.5000 0.0000
0.5000 0.5000 0.1976
0.5000 0.5000 0.4006
0.5000 0.5000 0.5994
0.5000 0.5000 0.8024

---

Record 6
Na2NdSn (PBE, optimized geometry); symmetry = R-3m; DFT formation energy = 0.129 eV per atom
1.0
1.7096 0.9871 12.5514
-1.7096 0.9871 12.5514
0.0000 -1.9741 12.5514
Na Nd Sn
2 1 1
Direct
0.0928 0.0928 0.0928
0.9072 0.9072 0.9072
0.0000 0.0000 0.0000
0.5000 0.5000 0.5000

---

Record 7
NaNdSn2 (PBE, optimized geometry); symmetry = P4/mmm; DFT formation energy = -0.492 eV per atom
1.0
4.8320 0.0000 0.0000
0.0000 4.8320 0.0000
0.0000 0.0000 4.6261
Na Nd Sn
1 1 2
Direct
0.0000 0.0000 0.0000
0.5000 0.5000 0.0000
0.0000 0.5000 0.5000
0.5000 0.0000 0.5000

---

Record 8
NaNdSn (PBE, optimized geometry); symmetry = R-3m; DFT formation energy = -0.227 eV per atom
1.0
2.5776 1.4882 9.0247
-2.5776 1.4882 9.0247
0.0000 -2.9763 9.0247
Na Nd Sn
2 2 2
Direct
0.1333 0.1333 0.1333
0.8667 0.8667 0.8667
0.2882 0.2882 0.2882
0.7118 0.7118 0.7118
0.4174 0.4174 0.4174
0.5826 0.5826 0.5826

---

Record 9
NaNdSn2 (PBE, optimized geometry); symmetry = P4/mmm; DFT formation energy = -0.408 eV per atom
1.0
3.4348 0.0000 0.0000
0.0000 3.4348 0.0000
0.0000 0.0000 9.5646
Na Nd Sn
1 1 2
Direct
0.0000 0.0000 0.0000
0.0000 0.0000 0.5000
0.5000 0.5000 0.2527
0.5000 0.5000 0.7473

---

Record 10
NaNdSn (PBE, optimized geometry); symmetry = P-1; DFT formation energy = -0.337 eV per atom
1.0
4.7885 0.0000 0.0000
2.3871 5.6900 0.0000
2.3878 1.4487 7.0306
Na Nd Sn
2 2 2
Direct
0.1729 0.2297 0.4253
0.8271 0.7703 0.5747
0.4252 0.2936 0.8555
0.5748 0.7064 0.1445
0.1473 0.8663 0.8391
0.8527 0.1337 0.1609

---

Record 11
NaNdSn3 (PBE, optimized geometry); symmetry = Pbcm; DFT formation energy = -0.366 eV per atom
1.0
14.0201 0.0000 0.0000
0.0000 6.3390 0.0000
0.0000 0.0000 6.3807
Na Nd Sn
4 4 12
Direct
0.0979 0.2500 0.0000
0.0979 0.2500 0.5000
0.9021 0.7500 0.0000
0.9021 0.7500 0.5000
0.3207 0.0021 0.2500
0.3207 0.4979 0.7500
0.6793 0.5021 0.2500
0.6793 0.9979 0.7500
0.1113 0.7254 0.7500
0.1113 0.7746 0.2500
0.2851 0.0070 0.7500
0.2851 0.4930 0.2500
0.4959 0.7500 0.0000
0.4959 0.7500 0.5000
0.5041 0.2500 0.0000
0.5041 0.2500 0.5000
0.7149 0.5070 0.7500
0.7149 0.9930 0.2500
0.8887 0.2254 0.7500
0.8887 0.2746 0.2500

---

Record 12
NaNdSn (PBE, optimized geometry); symmetry = I4mm; DFT formation energy = -0.198 eV per atom
1.0
-2.1515 2.1515 4.7814
2.1515 -2.1515 4.7814
2.1515 2.1515 -4.7814
Na Nd Sn
1 1 1
Direct
0.0000 0.0000 0.0000
0.3220 0.3220 0.0000
0.6708 0.6708 0.0000

---

Record 13
NaNd4Sn4 (PBE, optimized geometry); symmetry = P4_2/n; DFT formation energy = -0.444 eV per atom
1.0
9.2456 0.0000 0.0000
0.0000 9.2456 0.0000
0.0000 0.0000 6.5214
Na Nd Sn
2 8 8
Direct
0.2500 0.2500 0.2500
0.7500 0.7500 0.7500
0.0281 0.6719 0.1046
0.1719 0.9719 0.6046
0.3281 0.5281 0.6046
0.4719 0.8281 0.1046
0.5281 0.1719 0.8954
0.6719 0.4719 0.3954
0.8281 0.0281 0.3954
0.9719 0.3281 0.8954
0.0132 0.6472 0.5927
0.1472 0.9868 0.0927
0.3528 0.5132 0.0927
0.4868 0.8528 0.5927
0.5132 0.1472 0.4073
0.6472 0.4868 0.9073
0.8528 0.0132 0.9073
0.9868 0.3528 0.4073

---

Record 14
NaNd5Sn3 (PBE, optimized geometry); symmetry = P6_3/mcm; DFT formation energy = -0.575 eV per atom
1.0
9.6852 0.0000 0.0000
-4.8426 8.3877 0.0000
0.0000 0.0000 6.6402
Na Nd Sn
2 10 6
Direct
0.0000 0.0000 0.0000
0.0000 0.0000 0.5000
0.0000 0.3161 0.2500
0.0000 0.6839 0.7500
0.3161 0.0000 0.2500
0.3161 0.3161 0.7500
0.3333 0.6667 0.0000
0.3333 0.6667 0.5000
0.6667 0.3333 0.0000
0.6667 0.3333 0.5000
0.6839 0.0000 0.7500
0.6839 0.6839 0.2500
0.0000 0.3479 0.7500
0.0000 0.6521 0.2500
0.3479 0.0000 0.7500
0.3479 0.3479 0.2500
0.6521 0.0000 0.2500
0.6521 0.6521 0.7500

---

Record 15
NaNd2SnTe4 (PBE, optimized geometry); symmetry = I-4m2; calculated total energy = -4.48 eV per atom
1.0
-3.1908 3.1908 6.4214
3.1908 -3.1908 6.4214
3.1908 3.1908 -6.4214
Na Nd Sn Te
1 2 1 4
Direct
0.0000 0.0000 0.0000
0.5000 0.5000 0.0000
0.7500 0.2500 0.5000
0.2500 0.7500 0.5000
0.0020 0.5020 0.5000
0.2495 0.2495 0.0000
0.4980 0.9980 0.5000
0.7505 0.7505 0.0000

---

Record 16
Na2NdSnTe4 (PBE, optimized geometry); symmetry = P2/m; calculated total energy = -3.88 eV per atom
1.0
7.8554 0.0000 0.0000
0.0000 4.4438 0.0000
-2.5629 0.0000 7.5767
Na Nd Sn Te
2 1 1 4
Direct
0.0000 0.0000 0.0000
0.5000 0.5000 0.0000
0.0000 0.5000 0.5000
0.5000 0.0000 0.5000
0.2529 0.0000 0.7364
0.2616 0.5000 0.2664
0.7384 0.5000 0.7336
0.7471 0.0000 0.2636

---

Record 17
NaNdTmSn (PBE, optimized geometry); symmetry = F-43m; DFT formation energy = -0.263 eV per atom
1.0
0.0000 3.8061 3.8061
3.8061 0.0000 3.8061
3.8061 3.8061 0.0000
Na Nd Tm Sn
1 1 1 1
Direct
0.0000 0.0000 0.0000
0.2500 0.2500 0.2500
0.7500 0.7500 0.7500
0.5000 0.5000 0.5000

---

Record 18
Na4SrNd (PBE, optimized geometry); symmetry = F-43m; DFT formation energy = 0.176 eV per atom
1.0
0.0000 4.8400 4.8400
4.8400 0.0000 4.8400
4.8400 4.8400 0.0000
Na Sr Nd
4 1 1
Direct
0.1241 0.1241 0.1241
0.1241 0.1241 0.6276
0.1241 0.6276 0.1241
0.6276 0.1241 0.1241
0.5000 0.5000 0.5000
0.7500 0.7500 0.7500

---

Record 19
NaSrNd (PBE, optimized geometry); symmetry = P3m1; DFT formation energy = 0.250 eV per atom; ΔE to the lowest computed polymorph = 192.3 meV per atom
1.0
6.2010 0.0000 0.0000
-3.1005 5.3702 0.0000
0.0000 0.0000 3.6900
Na Sr Nd
1 1 1
Direct
0.0000 0.0000 0.0000
0.6667 0.3333 0.2220
0.3333 0.6667 0.6390

---

Record 20
NaSrNd (PBE, optimized geometry); symmetry = I4mm; DFT formation energy = 0.185 eV per atom; ΔE to the lowest computed polymorph = 127.6 meV per atom
1.0
-1.8977 1.8977 8.5098
1.8977 -1.8977 8.5098
1.8977 1.8977 -8.5098
Na Sr Nd
1 1 1
Direct
0.0000 0.0000 0.0000
0.6752 0.6752 0.0000
0.3450 0.3450 0.0000

---

Record 21
NaSrNd (PBE, optimized geometry); symmetry = P4/nmm; DFT formation energy = 0.058 eV per atom; ΔE to the lowest computed polymorph = 0.0 meV per atom
1.0
3.9163 0.0000 0.0000
0.0000 3.9163 0.0000
0.0000 0.0000 16.1936
Na Sr Nd
2 2 2
Direct
0.2500 0.2500 0.0732
0.7500 0.7500 0.9268
0.2500 0.2500 0.7479
0.7500 0.7500 0.2521
0.2500 0.2500 0.4287
0.7500 0.7500 0.5713

---

Record 22
NaSrNd2Te4 (PBE, optimized geometry); symmetry = P2/m; calculated total energy = -4.59 eV per atom
1.0
7.8398 0.0000 0.0000
0.0000 4.5410 0.0000
-2.6174 0.0000 7.6738
Na Sr Nd Te
1 1 2 4
Direct
0.0000 0.0000 0.0000
0.5000 0.5000 0.0000
0.0000 0.5000 0.5000
0.5000 0.0000 0.5000
0.2437 0.0000 0.7416
0.2507 0.5000 0.2591
0.7493 0.5000 0.7409
0.7563 0.0000 0.2584

---

Record 23
NaSr4Nd3Te8 (PBE, optimized geometry); symmetry = R-3m; calculated total energy = -4.51 eV per atom
1.0
4.6112 2.6623 7.5908
-4.6112 2.6623 7.5908
0.0000 -5.3246 7.5908
Na Sr Nd Te
1 4 3 8
Direct
0.0000 0.0000 0.0000
0.0000 0.0000 0.5000
0.0000 0.5000 0.0000
0.5000 0.0000 0.0000
0.5000 0.5000 0.5000
0.0000 0.5000 0.5000
0.5000 0.0000 0.5000
0.5000 0.5000 0.0000
0.2472 0.2472 0.7443
0.2472 0.7443 0.2472
0.2534 0.2534 0.2534
0.2557 0.7528 0.7528
0.7443 0.2472 0.2472
0.7466 0.7466 0.7466
0.7528 0.2557 0.7528
0.7528 0.7528 0.2557

---

Listing spin magnetization for the structures above in their given order: 0.000 0.000 0.000 0.001 0.000 0.000 0.000 0.000 0.000 0.407 0.000 0.000 0.001 0.002 0.000 0.000 0.003 0.000 0.000 0.000 0.000 0.000 0.000 Bohr magnetons per cell.